Below is crystalline BC at its relaxed geometry, with properties calculated at the PBE-GGA level.

Values from the calculation:
Formation energy from the elements ... 0.364 eV per atom
SG ... Cm, No. 8

```
8
Lattice="4.2453 0.0000 0.0101 0.0000 2.7459 0.0000 -2.1705 0.0000 4.3453" Properties=species:S:1:pos:R:3 pbc="T T T"
C -0.9302 0.0000 4.0493
C 0.1550 1.3730 1.8767
C 1.5616 0.0000 3.9540
C 2.6469 1.3730 1.7814
B 2.5237 0.0000 0.9122
B 1.4385 1.3730 3.0848
B 0.3412 0.0000 1.0800
B -0.7441 1.3730 3.2527
```